Entry 1:
# TbSm2ScAs4, relaxed, DFT PBE
# - total magnetization (Bohr magnetons per cell) = 0.00
# - energy of formation from the pure elements (meV per atom) = -1469
# - N(E_F) (states/eV per atom) = 0.101
# - total energy (eV/atom) = -6.344
# - theoretical density (g/cm³) = 6.76
data_TbSm2ScAs4
_chemical_formula_sum 'Tb1 Sm2 Sc1 As4'
_cell_length_a 7.1243
_cell_length_b 4.1232
_cell_length_c 7.1308
_cell_angle_alpha 90.00
_cell_angle_beta 109.50
_cell_angle_gamma 90.00
_symmetry_space_group_name_H-M 'P 1 2/m 1'
_symmetry_Int_Tables_number 10
loop_
_symmetry_equiv_pos_as_xyz
'x,y,z'
'-x,-y,-z'
'-x,y,-z'
'x,-y,z'
loop_
_atom_site_label
_atom_site_fract_x
_atom_site_fract_y
_atom_site_fract_z
Tb1 0.0000 0.0000 0.0000
Sm1 0.5000 0.0000 0.5000
Sm2 0.5000 0.5000 0.0000
Sc1 0.0000 0.5000 0.5000
As1 0.2350 0.0000 0.7381
As2 0.2401 0.5000 0.2536


Entry 2:
# InPtBr2, relaxed, DFT PBE
# - total magnetization (Bohr magnetons per cell) = 0.00
# - N(E_F) (states/eV per atom) = 1.307
# - total energy (eV/atom) = -2.923
# - theoretical density (g/cm³) = 7.23
# - E_form (uncorrected) (kcal/mol of atoms) = 2.5
data_InPtBr2
_chemical_formula_sum 'In3 Pt3 Br6'
_cell_length_a 3.6134
_cell_length_b 3.6134
_cell_length_c 28.6344
_cell_angle_alpha 90.00
_cell_angle_beta 90.00
_cell_angle_gamma 120.00
_symmetry_space_group_name_H-M 'R -3 m'
_symmetry_Int_Tables_number 166
_symmetry_space_group_name_Hall '-R 3 2"'
loop_
_atom_site_label
_atom_site_fract_x
_atom_site_fract_y
_atom_site_fract_z
In1 0.0000 0.0000 0.0000
Pt1 0.0000 0.0000 0.5000
Br1 0.0000 0.0000 0.4158


Entry 3:
# Tc3AgS, relaxed, DFT PBE
# - total magnetization (Bohr magnetons per cell) = 11.95
# - N(E_F) (states/eV per atom) = 0.414
# - total energy (eV/atom) = -5.079
# - theoretical density (g/cm³) = 5.59
# - E_form (uncorrected) (kcal/mol of atoms) = 58.5
data_Tc3AgS
_chemical_formula_sum 'Tc3 Ag1 S1'
_cell_length_a 5.0508
_cell_length_b 5.0508
_cell_length_c 5.0508
_cell_angle_alpha 90.00
_cell_angle_beta 90.00
_cell_angle_gamma 90.00
_symmetry_space_group_name_H-M 'P m -3 m'
_symmetry_Int_Tables_number 221
_symmetry_space_group_name_Hall '-P 4 2 3'
loop_
_atom_site_label
_atom_site_fract_x
_atom_site_fract_y
_atom_site_fract_z
Tc1 0.0000 0.0000 0.5000
Ag1 0.0000 0.0000 0.0000
S1 0.5000 0.5000 0.5000


Entry 4:
# MgTlSn6, relaxed, DFT PBE
# - total magnetization (Bohr magnetons per cell) = 0.00
# - energy of formation from the pure elements (meV per atom) = 24
# - N(E_F) (states/eV per atom) = 0.515
# - total energy (eV/atom) = -3.473
# - theoretical density (g/cm³) = 7.19
data_MgTlSn6
_chemical_formula_sum 'Mg1 Tl1 Sn6'
_cell_length_a 4.6065
_cell_length_b 4.6065
_cell_length_c 10.2359
_cell_angle_alpha 90.00
_cell_angle_beta 90.00
_cell_angle_gamma 90.00
_symmetry_space_group_name_H-M 'P 4/m m m'
_symmetry_Int_Tables_number 123
_symmetry_space_group_name_Hall '-P 4 2'
loop_
_atom_site_label
_atom_site_fract_x
_atom_site_fract_y
_atom_site_fract_z
Mg1 0.0000 0.0000 0.0000
Tl1 0.0000 0.0000 0.5000
Sn1 0.0000 0.5000 0.2376
Sn2 0.5000 0.5000 0.0000
Sn3 0.5000 0.5000 0.5000


Entry 5:
# Na2UBiSe4, relaxed, DFT PBE
# - total magnetization (Bohr magnetons per cell) = 2.86
# - N(E_F) (states/eV per atom) = 0.493
# - total energy (eV/atom) = -4.906
# - theoretical density (g/cm³) = 6.11
# - E_form (uncorrected) (kcal/mol of atoms) = -21.6
data_Na2UBiSe4
_chemical_formula_sum 'Na2 U1 Bi1 Se4'
_cell_length_a 7.3712
_cell_length_b 4.2591
_cell_length_c 7.4236
_cell_angle_alpha 90.00
_cell_angle_beta 109.39
_cell_angle_gamma 90.00
_symmetry_space_group_name_H-M 'P 1 2/m 1'
_symmetry_Int_Tables_number 10
loop_
_symmetry_equiv_pos_as_xyz
'x,y,z'
'-x,-y,-z'
'-x,y,-z'
'x,-y,z'
loop_
_atom_site_label
_atom_site_fract_x
_atom_site_fract_y
_atom_site_fract_z
Na1 0.0000 0.0000 0.0000
Na2 0.5000 0.5000 0.0000
U1 0.0000 0.5000 0.5000
Bi1 0.5000 0.0000 0.5000
Se1 0.2392 0.0000 0.7339
Se2 0.2497 0.5000 0.2641


Entry 6:
# KI3F, relaxed, DFT PBE
# - total magnetization (Bohr magnetons per cell) = 3.00
# - N(E_F) (states/eV per atom) = 4.432
# - total energy (eV/atom) = -1.546
# - theoretical density (g/cm³) = 2.39
# - E_form (uncorrected) (kcal/mol of atoms) = -0.5
data_KI3F
_chemical_formula_sum 'K1 I3 F1'
_cell_length_a 6.7314
_cell_length_b 6.7314
_cell_length_c 6.7314
_cell_angle_alpha 90.00
_cell_angle_beta 90.00
_cell_angle_gamma 90.00
_symmetry_space_group_name_H-M 'P m -3 m'
_symmetry_Int_Tables_number 221
_symmetry_space_group_name_Hall '-P 4 2 3'
loop_
_atom_site_label
_atom_site_fract_x
_atom_site_fract_y
_atom_site_fract_z
K1 0.0000 0.0000 0.0000
I1 0.0000 0.0000 0.5000
F1 0.5000 0.5000 0.5000


Entry 7:
# VCr4Re2, relaxed, DFT PBE
# - total magnetization (Bohr magnetons per cell) = 0.00
# - energy of formation from the pure elements (meV per atom) = 116
# - N(E_F) (states/eV per atom) = 0.988
# - total energy (eV/atom) = -10.242
# - theoretical density (g/cm³) = 11.46
data_VCr4Re2
_chemical_formula_sum 'V2 Cr8 Re4'
_cell_length_a 4.8942
_cell_length_b 6.6485
_cell_length_c 6.7040
_cell_angle_alpha 115.13
_cell_angle_beta 102.32
_cell_angle_gamma 100.97
_symmetry_space_group_name_H-M 'P 1'
_symmetry_Int_Tables_number 1
loop_
_symmetry_equiv_pos_as_xyz
'x,y,z'
loop_
_atom_site_label
_atom_site_fract_x
_atom_site_fract_y
_atom_site_fract_z
V1 0.0000 0.0000 0.0000
V2 0.2615 0.3521 0.8287
Cr1 0.1282 0.4373 0.1601
Cr2 0.2970 0.8442 0.2373
Cr3 0.5451 0.2126 0.1153
Cr4 0.7032 0.1418 0.7503
Cr5 0.7447 0.6237 0.1440
Cr6 0.8206 0.0468 0.3687
Cr7 0.8683 0.5478 0.8119
Cr8 0.9852 0.4624 0.4645
Re1 0.1516 0.9142 0.6110
Re2 0.3956 0.2755 0.4690
Re3 0.4511 0.7758 0.8809
Re4 0.5936 0.6940 0.4985


Entry 8:
# ScZnCo2Se, relaxed, DFT PBE
# - total magnetization (Bohr magnetons per cell) = 2.20
# - N(E_F) (states/eV per atom) = 0.744
# - total energy (eV/atom) = -4.139
# - theoretical density (g/cm³) = 4.91
# - E_form (uncorrected) (kcal/mol of atoms) = 21.2
data_ScZnCo2Se
_chemical_formula_sum 'Sc1 Zn1 Co2 Se1'
_cell_length_a 4.5576
_cell_length_b 4.5576
_cell_length_c 5.0046
_cell_angle_alpha 90.00
_cell_angle_beta 90.00
_cell_angle_gamma 90.00
_symmetry_space_group_name_H-M 'P 4/m m m'
_symmetry_Int_Tables_number 123
_symmetry_space_group_name_Hall '-P 4 2'
loop_
_atom_site_label
_atom_site_fract_x
_atom_site_fract_y
_atom_site_fract_z
Sc1 0.0000 0.0000 0.0000
Zn1 0.5000 0.5000 0.5000
Co1 0.0000 0.5000 0.0000
Se1 0.0000 0.0000 0.5000